This record from Alexandria via LeMat-Bulk describes a relaxed Cs2AgBr4 crystal. The functional is PBE-GGA.

- formation energy (no corrections) (eV/atom) = -1.144
- DOS(E_F) (states/eV/atom) = 0.70
- energy (eV per formula unit) = -19.26

Cell lengths 5.4944, 5.4944, 9.8395 Å; angles 73.79, 73.79, 90.00 degrees
Last column: nearest neighbours and their distance in Å.
Positions (direct):
Br 0.1540 0.1540 0.6920  1 Ag 2.78
Br 0.8460 0.8460 0.3080  1 Ag 2.78
Br 0.5000 0.0000 0.0000  2 Ag 2.75
Br 0.0000 0.5000 0.0000  2 Ag 2.75
Ag 0.0000 0.0000 0.0000  6 Br 2.75-2.78
Cs 0.3588 0.3588 0.2823  9 Br 3.70-3.89
Cs 0.6412 0.6412 0.7177  9 Br 3.70-3.89

=====

This record from Alexandria via LeMat-Bulk describes a relaxed CdOsCl2 crystal. The functional is PBE-GGA.

- formation energy (no corrections) (eV/atom) = 0.959
- DOS(E_F) (states/eV/atom) = 0.78
- energy (eV per formula unit) = -12.00

Cell lengths 4.7544, 4.7544, 4.7544 Å; angles 60.00, 60.00, 60.00 degrees
Last column: nearest neighbours and their distance in Å.
Positions (direct):
Cd 0.0000 0.0000 0.0000  8 Cl 2.91
Cl 0.7500 0.7500 0.7500  4 Cd 2.91, 4 Os 2.91
Cl 0.2500 0.2500 0.2500  4 Os 2.91, 4 Cd 2.91
Os 0.5000 0.5000 0.5000  8 Cl 2.91

=====

This record from Alexandria via LeMat-Bulk describes a relaxed Ca3InPb crystal. The functional is PBE-GGA.

- DOS(E_F) (states/eV/atom) = 0.97
- energy (eV per formula unit) = -12.73

Cell lengths 5.9716, 5.9716, 5.9716 Å; angles 90.00, 90.00, 90.00 degrees
Last column: nearest neighbours and their distance in Å.
Positions (direct):
Ca 0.5000 0.0000 0.0000  2 Pb 2.99
Ca 0.0000 0.0000 0.5000  2 Pb 2.99
Ca 0.0000 0.5000 0.0000  2 Pb 2.99
In 0.5000 0.5000 0.5000  12 Ca 4.22
Pb 0.0000 0.0000 0.0000  6 Ca 2.99

=====

This record from Alexandria via LeMat-Bulk describes a relaxed BaTe2MoN crystal. The functional is PBE-GGA.

- formation energy (no corrections) (eV/atom) = 1.585
- DOS(E_F) (states/eV/atom) = 0.97
- energy (eV per formula unit) = -19.44

Cell lengths 6.4430, 6.4430, 4.3449 Å; angles 90.00, 90.00, 90.00 degrees
Last column: nearest neighbours and their distance in Å.
Positions (direct):
N 0.0000 0.0000 0.5000  2 Ba 2.17
Ba 0.0000 0.0000 0.0000  2 N 2.17
Te 0.5000 0.0000 0.0000  2 Ba 3.22
Te 0.0000 0.5000 0.0000  2 Ba 3.22
Mo 0.5000 0.5000 0.5000  8 Te 3.89, 2 Mo 4.34

=====

This record from Alexandria via LeMat-Bulk describes a relaxed Nd2Ga5Pd crystal. The functional is PBE-GGA.

- DOS(E_F) (states/eV/atom) = 0.43
- energy (eV per formula unit) = -34.40

Cell lengths 6.2806, 6.2806, 6.2806 Å; angles 88.82, 120.68, 120.68 degrees
Last column: nearest neighbours and their distance in Å.
Positions (direct):
Ga 0.0000 0.7072 0.2828  1 Pd 2.53, 3 Ga 2.64-2.78
Ga 0.0000 0.2660 0.2660  1 Pd 2.52, 4 Ga 2.78
Ga 0.4244 0.7072 0.7072  1 Pd 2.53, 3 Ga 2.64-2.78
Ga 0.0000 0.2828 0.7072  1 Pd 2.53, 3 Ga 2.64-2.78
Ga 0.5756 0.2828 0.2828  1 Pd 2.53, 3 Ga 2.64-2.78
Pd 0.0000 0.9853 0.9853  5 Ga 2.52-2.53
Nd 0.5000 0.7453 0.2453  10 Ga 3.11-3.16
Nd 0.5000 0.2453 0.7453  10 Ga 3.11-3.16